Record 1
VASP calculation (SCAN) on a crystal of NbRe3I relaxed with PBEsol.

```
data_NbRe3I
_chemical_formula_sum 'Nb1 Re3 I1'
_cell_length_a 4.701
_cell_length_b 4.701
_cell_length_c 4.701
_cell_angle_alpha 90.00
_cell_angle_beta 90.00
_cell_angle_gamma 90.00
_space_group_name_H-M_alt 'P 1'
_space_group_IT_number 1
loop_
_space_group_symop_operation_xyz
'x,y,z'
loop_
_atom_site_label
_atom_site_type_symbol
_atom_site_fract_x
_atom_site_fract_y
_atom_site_fract_z
I1 I 0.000 0.000 0.000
Re1 Re 0.000 0.500 0.000
Re2 Re 0.000 0.000 0.500
Re3 Re 0.500 0.000 0.000
Nb1 Nb 0.500 0.500 0.500
```

***

Record 2
VASP calculation (SCAN) on a crystal of NbReSbI2 relaxed with PBEsol.

```
data_NbReSbI2
_chemical_formula_sum 'Nb1 Re1 Sb1 I2'
_cell_length_a 5.352
_cell_length_b 5.352
_cell_length_c 5.487
_cell_angle_alpha 90.00
_cell_angle_beta 90.00
_cell_angle_gamma 90.00
_space_group_name_H-M_alt 'P 1'
_space_group_IT_number 1
loop_
_space_group_symop_operation_xyz
'x,y,z'
loop_
_atom_site_label
_atom_site_type_symbol
_atom_site_fract_x
_atom_site_fract_y
_atom_site_fract_z
I1 I 0.000 0.500 0.000
I2 I 0.500 0.000 0.000
Re1 Re 0.500 0.500 0.500
Nb1 Nb 0.000 0.000 0.000
Sb1 Sb 0.000 0.000 0.500
```

***

Record 3
VASP calculation (SCAN) on a crystal of Nb3SbI relaxed with PBEsol.

```
data_Nb3SbI
_chemical_formula_sum 'Nb3 Sb1 I1'
_cell_length_a 5.074
_cell_length_b 5.074
_cell_length_c 5.074
_cell_angle_alpha 90.00
_cell_angle_beta 90.00
_cell_angle_gamma 90.00
_space_group_name_H-M_alt 'P 1'
_space_group_IT_number 1
loop_
_space_group_symop_operation_xyz
'x,y,z'
loop_
_atom_site_label
_atom_site_type_symbol
_atom_site_fract_x
_atom_site_fract_y
_atom_site_fract_z
I1 I 0.500 0.500 0.500
Sb1 Sb 0.000 0.000 0.000
Nb1 Nb 0.000 0.500 0.000
Nb2 Nb 0.000 0.000 0.500
Nb3 Nb 0.500 0.000 0.000
```

***

| no. | E_form (uncorrected) (eV per atom) | total magnetic moment (μB per cell) |
| --- | --- | --- |
| 1 | 2.87 | 1.02 |
| 2 | 1.55 | 6.65 |
| 3 | 1.58 | 0.00 |